Computed, not measured: a relaxed structure of AcEuGdBi at the PBE level of DFT.

a b c (Å): 5.762 5.762 5.762
angles (deg): 60.00 60.00 60.00
Positions (direct):
1 Ac 0.000 0.000 0.000
2 Eu 0.250 0.250 0.250
3 Gd 0.750 0.750 0.750
4 Bi 0.500 0.500 0.500

Summary:
calculated formation energy	-0.6	eV per formula unit
crystal system	cubic
Fermi-level density of states	5.53	states/eV/f.u.
size of the total moment	0.236	μB/atom